DFT (GGA-PBE) results for ReHgBRuS after structural relaxation.

Geometry as extended XYZ:
```
5
Lattice="6.249 -2.169 0.000 6.249 2.169 0.000 -0.162 0.000 3.189" Properties=species:S:1:pos:R:3 pbc="T T T"
Re 0.000 0.000 0.000
Hg 2.297 0.000 1.742
B 6.677 0.000 0.014
Ru 5.265 0.000 1.551
S 10.698 0.000 1.505
```

- total DFT energy (no corrections) (eV/atom) = -6.46
- formation energy from raw total energies (eV per atom) = 0.10
- space-group type = Cm (8)
- distance to the lowest polymorph of the same formula (meV/atom) = 1.4